Record 1
## Cs3ZrTe4 (PBE-GGA)

Data for an optimized crystal structure of Cs3ZrTe4.

## Properties
formation energy (no corrections)	-0.9363	eV per atom
uncorrected energy	-3.896	eV per atom
magnetization	0.0	Bohr magnetons per cell

CIF file:
```
data_Cs3ZrTe4
_symmetry_space_group_name_H-M 'I m m 2'
_symmetry_Int_Tables_number 44
_cell_length_a 6.7702
_cell_length_b 15.9435
_cell_length_c 7.9733
_cell_angle_alpha 90.00
_cell_angle_beta 90.00
_cell_angle_gamma 90.00
loop_
_symmetry_equiv_pos_as_xyz
'x,y,z'
'-x,-y,z'
'-x,y,z'
'x,-y,z'
'x+1/2,y+1/2,z+1/2'
'-x+1/2,-y+1/2,z+1/2'
'-x+1/2,y+1/2,z+1/2'
'x+1/2,-y+1/2,z+1/2'
loop_
_atom_site_label
_atom_site_fract_x
_atom_site_fract_y
_atom_site_fract_z
_atom_site_occupancy
Cs1 0.0000 0.0000 0.0000 1
Cs2 0.0000 0.2856 0.1497 1
Zr1 0.0000 0.5000 0.8026 1
Te1 0.0000 0.3528 0.6217 1
Te2 0.2317 0.0000 0.5605 1
```

---

Record 2
## Cs5ZrTe4 (PBE-GGA)

Data for an optimized crystal structure of Cs5ZrTe4.

## Properties
formation energy (no corrections)	-0.8099	eV per atom
uncorrected energy	-3.348	eV per atom
magnetization	1.0	Bohr magnetons per cell

CIF file:
```
data_Cs5ZrTe4
_symmetry_space_group_name_H-M 'C 1 2/m 1'
_symmetry_Int_Tables_number 12
_cell_length_a 22.1104
_cell_length_b 4.7481
_cell_length_c 10.1406
_cell_angle_alpha 90.00
_cell_angle_beta 99.03
_cell_angle_gamma 90.00
loop_
_symmetry_equiv_pos_as_xyz
'x,y,z'
'-x,-y,-z'
'-x,y,-z'
'x,-y,z'
'x+1/2,y+1/2,z'
'-x+1/2,-y+1/2,-z'
'-x+1/2,y+1/2,-z'
'x+1/2,-y+1/2,z'
loop_
_atom_site_label
_atom_site_fract_x
_atom_site_fract_y
_atom_site_fract_z
_atom_site_occupancy
Cs1 0.0000 0.0000 0.0000 1
Cs2 0.1532 0.5000 0.8348 1
Cs3 0.1789 0.5000 0.3351 1
Zr1 0.0000 0.0000 0.5000 1
Te1 0.0089 0.5000 0.3066 1
Te2 0.1334 0.0000 0.5686 1
```

---

Record 3
## CsZr4Te8 (PBE-GGA)

Data for an optimized crystal structure of CsZr4Te8.

## Properties
formation energy (no corrections)	-0.9029	eV per atom
uncorrected energy	-5.532	eV per atom
magnetization	0.0	Bohr magnetons per cell

CIF file:
```
data_CsZr4Te8
_symmetry_space_group_name_H-M 'C 1 m 1'
_symmetry_Int_Tables_number 8
_cell_length_a 19.9061
_cell_length_b 4.0377
_cell_length_c 13.8284
_cell_angle_alpha 90.00
_cell_angle_beta 129.17
_cell_angle_gamma 90.00
loop_
_symmetry_equiv_pos_as_xyz
'x,y,z'
'x,-y,z'
'x+1/2,y+1/2,z'
'x+1/2,-y+1/2,z'
loop_
_atom_site_label
_atom_site_fract_x
_atom_site_fract_y
_atom_site_fract_z
_atom_site_occupancy
Cs1 0.0000 0.0000 0.0000 1
Zr1 0.1543 0.0000 0.4739 1
Zr2 0.1679 0.5000 0.8435 1
Zr3 0.3324 0.0000 0.1574 1
Zr4 0.3459 0.5000 0.5266 1
Te1 0.0358 0.0000 0.7403 1
Te2 0.1262 0.5000 0.5941 1
Te3 0.1614 0.5000 0.3258 1
Te4 0.2008 0.5000 0.0802 1
Te5 0.2994 0.0000 0.9206 1
Te6 0.3389 0.0000 0.6746 1
Te7 0.3744 0.0000 0.4069 1
Te8 0.4645 0.5000 0.2603 1
```

---

no.,D(E_F) (states/eV per cell)
1,1.4
2,6.4
3,8.2